This record from Alexandria describes a relaxed structure of Na2GaCu2Au5. The functional is PBE.

CIF file:
```
data_Na2GaCu2Au5
_cell_length_a 3.304
_cell_length_b 10.622
_cell_length_c 10.622
_cell_angle_alpha 90.00
_cell_angle_beta 90.00
_cell_angle_gamma 90.00
_space_group_name_H-M_alt 'P 1'
_space_group_IT_number 1
_space_group_name_Hall 'P 1'
loop_
_atom_site_label
_atom_site_type_symbol
_atom_site_fract_x
_atom_site_fract_y
_atom_site_fract_z
Na1 Na 0.000 0.674 0.174
Na2 Na 0.000 0.326 0.826
Na3 Na 0.000 0.174 0.326
Na4 Na 0.000 0.826 0.674
Ga1 Ga 0.000 0.000 0.000
Ga2 Ga 0.000 0.500 0.500
Cu1 Cu 0.000 0.133 0.633
Cu2 Cu 0.000 0.867 0.367
Cu3 Cu 0.000 0.633 0.867
Cu4 Cu 0.000 0.367 0.133
Au1 Au 0.500 0.194 0.059
Au2 Au 0.500 0.806 0.941
Au3 Au 0.500 0.059 0.806
Au4 Au 0.500 0.694 0.441
Au5 Au 0.500 0.941 0.194
Au6 Au 0.500 0.306 0.559
Au7 Au 0.500 0.559 0.694
Au8 Au 0.500 0.441 0.306
Au9 Au 0.500 0.500 0.000
Au10 Au 0.500 0.000 0.500
```

Formation energy from the elements, eV/atom: -0.181
Space-group type: P4/mbm, No. 127